First-principles (PBE) data for an optimized crystal structure of Li2OsPb, as listed in Alexandria via LeMat-Bulk.

Summary:
Fermi-level density of states: 1.1 states/eV/f.u.
V: 67.81 Å³/cell
VASP energy: -4.385 eV/atom
SG: Pmm2 (25)

Unit cell a=2.7794 b=4.6789 c=5.2147 alpha=90.00 beta=90.00 gamma=90.00
Sites, in units of the cell vectors:
Li: 0.0000 0.0000 0.0000
Li: 0.0000 0.5000 0.2858
Os: 0.5000 0.5000 0.8116
Pb: 0.5000 0.0000 0.5125